Record 1
Compound: YCuW2
Source: Alexandria
Functional: PBE-GGA
Structure: optimized geometry

The structure in POSCAR format:
```
YCuW2
1.0
-0.6685 -2.7466 -4.2002
-3.6201 -1.2623 4.2334
-2.3528 1.2821 -0.9032
W Cu Y
2 1 1
Cartesian
-1.5106 -0.7322 -2.5517
0.0000 0.0000 0.0000
-2.1443 -2.0045 0.0166
-2.9864 0.0099 1.6651
```

Properties
**Distance to the lowest polymorph of the same formula**: 293 meV/atom
**V**: 71.17 Å³/cell
**SG**: C2/m (12)

---

Record 2
Compound: YCuW2
Source: Alexandria
Functional: PBE-GGA
Structure: optimized geometry

The structure in POSCAR format:
```
YCuW2
1.0
-1.2532 -0.0902 -3.6100
-2.3657 -2.8666 0.8928
-9.2518 5.4146 1.0527
W Cu Y
4 2 2
Cartesian
-3.9526 -0.4496 0.3572
-8.3043 2.9420 -0.2263
-3.3875 0.9393 -1.8687
-10.0970 1.4839 -1.5912
-6.7135 0.5348 0.2934
-1.8094 -1.4784 -1.3586
0.0000 0.0000 0.0000
-6.1572 1.9230 -1.9580
```

Properties
**Distance to the lowest polymorph of the same formula**: 482 meV/atom
**V**: 152.35 Å³/cell
**SG**: I-42d (122)

---

Record 3
Compound: YCuW2
Source: Alexandria
Functional: PBE-GGA
Structure: optimized geometry

The structure in POSCAR format:
```
YCuW2
1.0
5.5374 -0.0057 -0.0141
4.7195 2.8963 -0.0141
1.3924 0.3924 4.4412
W Y Cu
2 1 1
Cartesian
5.6580 1.5946 2.3245
1.5590 0.4394 4.3232
2.9123 0.8208 1.1032
8.7369 2.4623 3.3097
```

Properties
**Distance to the lowest polymorph of the same formula**: 169 meV/atom
**V**: 71.41 Å³/cell
**SG**: C2/m (12)

---

Record 4
Compound: Y3CuW
Source: Alexandria
Functional: PBE-GGA
Structure: optimized geometry

The structure in POSCAR format:
```
Y3CuW
1.0
-4.0111 0.8708 -3.4921
-3.0900 -3.5143 2.6728
-1.8454 3.9916 3.1150
Cu W Y
1 1 3
Cartesian
-4.4732 0.6741 1.1478
0.0000 0.0000 0.0000
-2.0055 0.4354 -1.7461
-0.9227 1.9958 1.5575
-1.5450 -1.7572 1.3364
```

Properties
**Distance to the lowest polymorph of the same formula**: 0 meV/atom
**V**: 156.51 Å³/cell
**SG**: Pm-3m (221)

---

Record 5
Compound: Y2CuW
Source: Alexandria
Functional: PBE-GGA
Structure: optimized geometry

The structure in POSCAR format:
```
Y2CuW
1.0
3.1729 -3.7897 0.2904
-0.3621 -3.7808 -3.1761
3.4381 -0.6245 -3.5076
Y W Cu
2 1 1
Cartesian
4.6867 -6.1463 -4.7949
1.5622 -2.0488 -1.5983
3.1244 -4.0975 -3.1966
0.0000 0.0000 0.0000
```

Properties
**Distance to the lowest polymorph of the same formula**: 120 meV/atom
**V**: 85.82 Å³/cell
**SG**: Fm-3m (225)

---

Record 6
Compound: YCu4W
Source: Alexandria
Functional: PBE-GGA
Structure: optimized geometry

The structure in POSCAR format:
```
YCu4W
1.0
-0.7086 -3.6065 -3.4422
-4.3559 -0.2611 -2.5131
-0.1595 1.1847 -4.8917
Cu W Y
4 1 1
Cartesian
-3.2589 -1.6737 -6.7668
-1.1011 -1.5444 -5.5219
-2.9079 0.1128 -5.0616
-3.1799 -2.2606 -4.3436
-1.3060 -0.6707 -2.7117
0.0000 0.0000 0.0000
```

Properties
**V**: 90.29 Å³/cell
**SG**: F-43m (216)
**VASP energy**: -0.210 Ha/atom